This record from Alexandria describes a geometry-optimized CrTe2W2 structure. The functional is GGA-PBE.

abc: 6.726 6.726 4.260
angles: 90.00 90.00 90.00
Sites, in units of the cell vectors:
Cr1 0.000 0.000 0.000
Cr2 0.500 0.500 0.000
Te1 0.172 0.328 0.500
Te2 0.328 0.828 0.500
Te3 0.672 0.172 0.500
Te4 0.828 0.672 0.500
W1 0.141 0.641 0.000
W2 0.359 0.141 0.000
W3 0.641 0.859 0.000
W4 0.859 0.359 0.000

Computed properties:
Uncorrected formation energy (eV per atom): 1.00
Space-group type: P4/mbm, No. 127